1.
{
  "formula": "SrPt6O12",
  "functional": "PBE",
  "state": "relaxed",
  "formation_energy_uncorrected_mev_per_atom": -82,
  "energy_ev_per_atom": -5.21,
  "dos_ef_per_ev_cell": 19.678,
  "lattice": [[-0.831, -0.671, -7.236], [-1.382, -6.422, 3.219], [-4.651, 5.047, 2.531]],
  "species": ["O", "O", "O", "O", "O", "O", "O", "O", "O", "O", "O", "O", "Pt", "Pt", "Pt", "Pt", "Pt", "Pt", "Sr"],
  "frac_coords": [[0.153, 0.643, 0.796], [0.643, 0.796, 0.153], [0.847, 0.643, 0.490], [0.204, 0.847, 0.357], [0.357, 0.204, 0.847], [0.153, 0.357, 0.510], [0.847, 0.357, 0.204], [0.796, 0.153, 0.643], [0.490, 0.847, 0.643], [0.510, 0.153, 0.357], [0.357, 0.510, 0.153], [0.643, 0.490, 0.847], [0.334, 0.500, 0.834], [0.500, 0.166, 0.666], [0.666, 0.500, 0.166], [0.166, 0.666, 0.500], [0.500, 0.834, 0.334], [0.834, 0.334, 0.500], [0.000, 0.000, 0.000]]
}

2.
{
  "formula": "Cs3Pb4Au2",
  "functional": "PBE",
  "state": "relaxed",
  "formation_energy_ev_per_atom": -0.1705,
  "energy_ev_per_atom": -2.83,
  "dos_ef_per_ev_cell": 4.978,
  "lattice": [[4.824, -0.003, 0.001], [2.401, 7.489, 0.430], [2.404, 3.463, 10.441]],
  "species": ["Pb", "Pb", "Pb", "Pb", "Au", "Au", "Cs", "Cs", "Cs"],
  "frac_coords": [[0.913, 0.519, 0.653], [0.719, 0.647, 0.913], [0.281, 0.353, 0.087], [0.087, 0.481, 0.347], [0.661, 0.475, 0.205], [0.339, 0.525, 0.795], [0.000, 0.000, 0.000], [0.369, 0.876, 0.387], [0.631, 0.124, 0.613]]
}

3.
{
  "formula": "Ce3ScTe4",
  "functional": "PBE",
  "state": "relaxed",
  "formation_energy_uncorrected_mev_per_atom": -1283,
  "energy_ev_per_atom": -5.87,
  "dos_ef_per_ev_cell": 21.863,
  "lattice": [[-0.338, -3.322, 2.822], [-6.249, -2.489, -3.679], [6.194, -3.275, -3.113]],
  "species": ["Ce", "Ce", "Ce", "Sc", "Te", "Te", "Te", "Te"],
  "frac_coords": [[0.000, 0.500, 0.000], [0.000, 0.000, 0.500], [0.500, 0.500, 0.500], [0.500, 0.000, 0.000], [0.500, 0.759, 0.241], [0.000, 0.233, 0.233], [0.000, 0.767, 0.767], [0.500, 0.241, 0.759]]
}

4.
{
  "formula": "CaTh2O",
  "functional": "PBE",
  "state": "relaxed",
  "formation_energy_uncorrected_mev_per_atom": -965,
  "energy_ev_per_atom": -6.42,
  "dos_ef_per_ev_cell": 3.696,
  "lattice": [[-2.619, 1.531, 1.981], [-2.020, -2.035, 2.216], [4.909, 1.398, 8.722]],
  "species": ["Ca", "Th", "Th", "O"],
  "frac_coords": [[0.000, 0.000, 0.000], [0.118, 0.118, 0.646], [0.882, 0.882, 0.354], [0.500, 0.500, 0.500]]
}

5.
{
  "formula": "LiSm2CuO5",
  "functional": "PBE",
  "state": "relaxed",
  "formation_energy_uncorrected_mev_per_atom": -2240,
  "energy_ev_per_atom": -6.71,
  "lattice": [[5.555, 0.000, 0.000], [0.000, 6.633, 0.000], [0.000, 0.000, 6.633]],
  "species": ["O", "O", "O", "O", "O", "O", "O", "O", "O", "O", "Sm", "Sm", "Sm", "Sm", "Cu", "Cu", "Li", "Li"],
  "frac_coords": [[0.500, 0.000, 0.000], [0.760, 0.133, 0.633], [0.760, 0.867, 0.367], [0.500, 0.500, 0.500], [0.240, 0.867, 0.367], [0.240, 0.367, 0.133], [0.240, 0.633, 0.867], [0.760, 0.367, 0.133], [0.760, 0.633, 0.867], [0.240, 0.133, 0.633], [0.500, 0.177, 0.323], [0.500, 0.823, 0.677], [0.500, 0.677, 0.177], [0.500, 0.323, 0.823], [0.000, 0.500, 0.000], [0.000, 0.000, 0.500], [0.000, 0.000, 0.000], [0.000, 0.500, 0.500]]
}

6.
{
  "formula": "KSb2IBr",
  "functional": "PBE",
  "state": "relaxed",
  "formation_energy_uncorrected_mev_per_atom": 146,
  "energy_ev_per_atom": -2.37,
  "dos_ef_per_ev_cell": 4.396,
  "relative_energy_mev_per_atom": 0.0,
  "lattice": [[-4.299, -2.879, -2.002], [2.852, -1.029, -4.646], [2.896, -6.570, 3.232]],
  "species": ["Sb", "Sb", "Br", "K", "I"],
  "frac_coords": [[0.500, 0.000, 0.000], [0.000, 0.500, 0.000], [0.000, 0.000, 0.000], [0.500, 0.500, 0.500], [0.000, 0.000, 0.500]]
}

7.
{
  "formula": "GeAsRhBr2",
  "functional": "PBE",
  "state": "relaxed",
  "formation_energy_uncorrected_mev_per_atom": 878,
  "energy_ev_per_atom": -3.11,
  "dos_ef_per_ev_cell": 10.507,
  "relative_energy_mev_per_atom": 519.4,
  "lattice": [[-1.863, -3.089, -3.611], [4.303, 0.548, -2.689], [2.040, -4.076, 2.434]],
  "species": ["Rh", "Ge", "Br", "Br", "As"],
  "frac_coords": [[0.500, 0.500, 0.500], [0.000, 0.000, 0.000], [0.000, 0.500, 0.000], [0.500, 0.000, 0.000], [0.000, 0.000, 0.500]]
}

8.
{
  "formula": "SrRePt",
  "functional": "PBE",
  "state": "relaxed",
  "formation_energy_ev_per_atom": 0.9101,
  "energy_ev_per_atom": -5.81,
  "dos_ef_per_ev_cell": 3.482,
  "relative_energy_mev_per_atom": 669.6,
  "lattice": [[-4.409, 0.846, -1.550], [-3.625, 0.068, 3.069], [-2.142, 4.106, 1.056]],
  "species": ["Re", "Sr", "Pt"],
  "frac_coords": [[0.000, 0.000, 0.000], [0.500, 0.500, 0.500], [0.750, 0.750, 0.750]]
}

9.
{
  "formula": "SmEuInAu",
  "functional": "PBE",
  "state": "relaxed",
  "formation_energy_ev_per_atom": -0.5716,
  "energy_ev_per_atom": -5.82,
  "dos_ef_per_ev_cell": 10.024,
  "lattice": [[-2.560, -4.670, 0.706], [-1.802, -2.745, -4.252], [2.371, -4.605, -1.426]],
  "species": ["In", "Au", "Sm", "Eu"],
  "frac_coords": [[0.500, 0.500, 0.500], [0.000, 0.000, 0.000], [0.250, 0.250, 0.250], [0.750, 0.750, 0.750]]
}

10.
{
  "formula": "YMnRu2",
  "functional": "PBE",
  "state": "relaxed",
  "formation_energy_ev_per_atom": 0.3791,
  "energy_ev_per_atom": -8.17,
  "dos_ef_per_ev_cell": 6.121,
  "lattice": [[8.448, -0.265, -0.155], [7.979, 2.786, -0.155], [7.979, 1.225, 2.508]],
  "species": ["Ru", "Ru", "Y", "Mn"],
  "frac_coords": [[0.009, 0.009, 0.009], [0.491, 0.491, 0.491], [0.250, 0.250, 0.250], [0.750, 0.750, 0.750]]
}

11.
{
  "formula": "ZrAl2Si8",
  "functional": "PBE",
  "state": "relaxed",
  "formation_energy_uncorrected_mev_per_atom": 122,
  "energy_ev_per_atom": -5.28,
  "dos_ef_per_ev_cell": 2.908,
  "lattice": [[-1.338, -3.173, -1.012], [-0.290, -0.976, 3.442], [-13.446, 5.531, 0.434]],
  "species": ["Si", "Si", "Si", "Si", "Si", "Si", "Si", "Si", "Al", "Al", "Zr"],
  "frac_coords": [[0.500, 0.000, 0.855], [0.000, 0.500, 0.855], [0.000, 0.500, 0.500], [0.500, 0.500, 0.731], [0.500, 0.000, 0.145], [0.500, 0.500, 0.269], [0.000, 0.500, 0.145], [0.500, 0.000, 0.500], [0.000, 0.000, 0.362], [0.000, 0.000, 0.638], [0.000, 0.000, 0.000]]
}

12.
{
  "formula": "K2RbHg6",
  "functional": "PBE",
  "state": "relaxed",
  "formation_energy_ev_per_atom": -0.2567,
  "energy_ev_per_atom": -0.81,
  "dos_ef_per_ev_cell": 3.938,
  "relative_energy_mev_per_atom": 0.0,
  "lattice": [[3.939, 0.000, 0.000], [0.000, 8.222, -4.747], [0.000, 0.000, 9.494]],
  "species": ["Hg", "Hg", "Hg", "Hg", "Hg", "Hg", "K", "K", "Rb"],
  "frac_coords": [[0.500, 0.664, 0.000], [0.500, 0.000, 0.664], [0.500, 0.000, 0.336], [0.500, 0.336, 0.336], [0.500, 0.664, 0.664], [0.500, 0.336, 0.000], [0.000, 0.333, 0.667], [0.000, 0.667, 0.333], [0.000, 0.000, 0.000]]
}